(1)
Entry from Alexandria via LeMat-Bulk: a relaxed structure of ScCd2S (PBE-GGA).

Properties
Calculated total energy = -3.4799 eV per atom
V = 22.46 Å³ per atom
Space group = I-42d, No. 122

```
8
Lattice="-4.135 4.135 2.628 4.135 -4.135 2.628 4.135 4.135 -2.628" Properties=species:S:1:pos:R:3 pbc="T T T"
Sc 0.000 0.000 0.000
Sc 0.000 4.135 1.314
Cd 2.067 -1.732 1.971
Cd 2.403 2.067 0.657
Cd 2.067 5.867 -0.657
Cd 1.732 2.067 3.285
S 4.135 0.000 1.314
S 0.000 0.000 2.628
```

(2)
Entry from Alexandria via LeMat-Bulk: a relaxed structure of PuH2F5 (PBE-GGA).

Properties
Calculated total energy = -6.3440 eV per atom
V = 12.78 Å³ per atom
Space group = I4/m, No. 87

```
8
Lattice="-3.324 3.324 2.314 3.324 -3.324 2.314 3.324 3.324 -2.314" Properties=species:S:1:pos:R:3 pbc="T T T"
Pu 0.000 0.000 0.000
H 3.324 0.000 0.000
H 0.000 3.324 0.000
F 2.268 0.465 0.000
F 2.860 -1.056 2.314
F 0.000 0.000 2.314
F 0.465 4.380 0.000
F 1.056 2.860 2.314
```